[1]
Computed, not measured: an optimized crystal structure of CsReAu3Se4 at the GGA-PBE level of DFT.

Properties
- Raw total energy: -4.125 eV/atom
- V: 31.2 Å³/atom

abc: 6.5488 6.5488 6.5488
angles: 90.00 90.00 90.00
Space group P-43m (No. 215)
Inequivalent atoms, fractional coordinates:
Cs (0.0000, 0.0000, 0.0000) [1 per cell]
Re (0.5000, 0.5000, 0.5000) [1 per cell]
Au (0.0000, 0.5000, 0.5000) [3 per cell]
Se (0.2910, 0.2910, 0.2910) [4 per cell]

[2]
Computed, not measured: an optimized crystal structure of BaCoAgS3 at the GGA-PBE level of DFT.

Properties
- Raw total energy: -4.553 eV/atom
- V: 20.8 Å³/atom

abc: 3.8190 13.4653 9.7261
angles: 90.00 90.00 90.00
Space group Cmcm (No. 63)
Inequivalent atoms, fractional coordinates:
Ba (0.0000, 0.2438, 0.2500) [4 per cell]
Co (0.0000, 0.0000, 0.0000) [4 per cell]
Ag (0.0000, 0.4613, 0.7500) [4 per cell]
S (0.0000, 0.0756, 0.7500) [4 per cell]
S (0.0000, 0.3880, 0.5222) [8 per cell]

[3]
Computed, not measured: an optimized crystal structure of Re2Pb2O at the GGA-PBE level of DFT.

Properties
- Raw total energy: -6.302 eV/atom
- V: 22.0 Å³/atom

abc: 4.4973 4.4973 12.5730
angles: 90.00 90.00 120.00
Space group P6_3/mmc (No. 194)
Inequivalent atoms, fractional coordinates:
Re (0.3333, 0.6667, 0.1640) [4 per cell]
Pb (0.3333, 0.6667, 0.5957) [4 per cell]
O (0.0000, 0.0000, 0.2500) [2 per cell]

[4]
Computed, not measured: an optimized crystal structure of LuCuPb at the GGA-PBE level of DFT.

Properties
- Raw total energy: -4.317 eV/atom
- V: 21.9 Å³/atom

abc: 4.5675 4.5675 7.2598
angles: 90.00 90.00 120.00
Space group P6_3mc (No. 186)
Inequivalent atoms, fractional coordinates:
Lu (0.0000, 0.0000, 0.0000) [2 per cell]
Cu (0.3333, 0.6667, 0.3359) [2 per cell]
Pb (0.3333, 0.6667, 0.7318) [2 per cell]